MgNi5H7 PBE-GGA relaxed; E = -4.23 eV/atom; crystal system = monoclinic; Fermi-level density of states = 0.3184 states/eV/atom; magnetization = 0.00 μB per formula unit
1.0
2.7655 0.0056 0.0000
-1.3740 4.3074 0.0052
0.0000 -0.0179 14.9258
Mg Ni H
2 10 14
Direct
0.8232 0.6352 0.2500
0.1774 0.3660 0.7500
0.0003 0.0006 0.0000
0.7220 0.4496 0.9216
0.2786 0.5516 0.0784
0.5553 0.0976 0.3531
0.4453 0.9035 0.6468
0.0003 0.0006 0.5000
0.2786 0.5516 0.4215
0.7220 0.4496 0.5784
0.4453 0.9035 0.8532
0.5553 0.0977 0.1468
0.4925 0.9750 0.2500
0.5080 0.0260 0.7500
0.6383 0.2716 0.0360
0.3622 0.7295 0.9640
0.3622 0.7295 0.5360
0.6383 0.2716 0.4640
0.1660 0.3232 0.1692
0.8347 0.6780 0.8309
0.8347 0.6780 0.6691
0.1659 0.3231 0.3309
0.9108 0.8189 0.1033
0.0896 0.1822 0.8967
0.0897 0.1822 0.6033
0.9108 0.8189 0.3967